Entry from Alexandria: a relaxed structure of LiNb2Ni (PBE-GGA).

Calculated values
volume = 130 Å³ per cell
DFT formation energy = 429 meV/atom
M_tot = 0.00 Bohr magnetons per cell
ΔE to the lowest computed polymorph = 167 meV per atom

a = 7.098 Å, b = 7.098 Å, c = 5.641 Å
α = 51.02°, β = 51.02°, γ = 90.00°
Sites, in units of the cell vectors:
Ni  0.000  0.000  0.000
Ni  0.750  0.250  0.500
Nb  0.654  0.125  0.250
Nb  0.096  0.625  0.250
Nb  0.375  0.346  0.750
Nb  0.875  0.904  0.750
Li  0.500  0.500  0.000
Li  0.250  0.750  0.500